(one)
# Mg2H6Ru | the Alexandria database | PBE-GGA | relaxed
data_Mg2H6Ru
_chemical_formula_sum 'Mg4 H12 Ru2'
_space_group_name_H-M_alt 'P 42/m n m'
_space_group_IT_number 136
_space_group_name_Hall '-P 4n 2n'
_cell_length_a 4.375
_cell_length_b 4.375
_cell_length_c 8.363
_cell_angle_alpha 90.00
_cell_angle_beta 90.00
_cell_angle_gamma 90.00
loop_
_atom_site_label
_atom_site_type_symbol
_atom_site_fract_x
_atom_site_fract_y
_atom_site_fract_z
Mg1 Mg 0.000 0.000 0.169
H1 H 0.192 0.192 0.354
H2 H 0.223 0.223 0.000
Ru1 Ru 0.000 0.000 0.500
# Crystal system: tetragonal
# Total moment, μB per formula unit: 0.0

***

(two)
# Mg2H6Ru | the Alexandria database | PBE-GGA | relaxed
data_Mg2H6Ru
_chemical_formula_sum 'Mg8 H24 Ru4'
_space_group_name_H-M_alt 'F m -3 m'
_space_group_IT_number 225
_space_group_name_Hall '-F 4 2 3'
_cell_length_a 6.600
_cell_length_b 6.600
_cell_length_c 6.600
_cell_angle_alpha 90.00
_cell_angle_beta 90.00
_cell_angle_gamma 90.00
loop_
_atom_site_label
_atom_site_type_symbol
_atom_site_fract_x
_atom_site_fract_y
_atom_site_fract_z
Mg1 Mg 0.250 0.250 0.250
H1 H 0.000 0.000 0.245
Ru1 Ru 0.000 0.000 0.500
# Crystal system: cubic
# Total moment, μB per formula unit: 0.0
# DOS at the Fermi energy, states/eV/cell: 0.00

***

Referenced to the most stable arrangement, the calculated values in eV/atom are (one) 0.191; (two) 0.000.

***

(one)
# MgSc2HRu | the Alexandria database | PBE-GGA | relaxed
data_MgSc2HRu
_chemical_formula_sum 'Mg1 Sc2 H1 Ru1'
_space_group_name_H-M_alt 'P 4/m m m'
_space_group_IT_number 123
_space_group_name_Hall '-P 4 2'
_cell_length_a 4.626
_cell_length_b 4.626
_cell_length_c 3.659
_cell_angle_alpha 90.00
_cell_angle_beta 90.00
_cell_angle_gamma 90.00
loop_
_atom_site_label
_atom_site_type_symbol
_atom_site_fract_x
_atom_site_fract_y
_atom_site_fract_z
Mg1 Mg 0.000 0.000 0.000
Sc1 Sc 0.000 0.500 0.500
H1 H 0.500 0.500 0.500
Ru1 Ru 0.500 0.500 0.000
# Crystal system: tetragonal
# Total moment, μB per formula unit: 0.0
# DOS at the Fermi energy, states/eV/cell: 2.96

***

(two)
# MgSc2HRu | the Alexandria database | PBE-GGA | relaxed
data_MgSc2HRu
_chemical_formula_sum 'Mg1 Sc2 H1 Ru1'
_space_group_name_H-M_alt 'P 4/m m m'
_space_group_IT_number 123
_space_group_name_Hall '-P 4 2'
_cell_length_a 5.224
_cell_length_b 5.224
_cell_length_c 3.240
_cell_angle_alpha 90.00
_cell_angle_beta 90.00
_cell_angle_gamma 90.00
loop_
_atom_site_label
_atom_site_type_symbol
_atom_site_fract_x
_atom_site_fract_y
_atom_site_fract_z
Mg1 Mg 0.000 0.000 0.000
Sc1 Sc 0.000 0.500 0.000
H1 H 0.000 0.000 0.500
Ru1 Ru 0.500 0.500 0.500
# Crystal system: tetragonal
# Total moment, μB per formula unit: 0.0
# DOS at the Fermi energy, states/eV/cell: 5.88

***

Referenced to the most stable arrangement, the calculated values in eV/atom are (one) 0.000; (two) 1.065.

***

(one)
# MgHS3 | the Alexandria database | PBE-GGA | relaxed
data_MgHS3
_chemical_formula_sum 'Mg1 H1 S3'
_space_group_name_H-M_alt 'P m -3 m'
_space_group_IT_number 221
_space_group_name_Hall '-P 4 2 3'
_cell_length_a 4.151
_cell_length_b 4.151
_cell_length_c 4.151
_cell_angle_alpha 90.00
_cell_angle_beta 90.00
_cell_angle_gamma 90.00
loop_
_atom_site_label
_atom_site_type_symbol
_atom_site_fract_x
_atom_site_fract_y
_atom_site_fract_z
Mg1 Mg 0.000 0.000 0.000
H1 H 0.500 0.500 0.500
S1 S 0.000 0.500 0.500
# Crystal system: cubic
# Total moment, μB per formula unit: 0.0
# DOS at the Fermi energy, states/eV/cell: 3.72

***

(two)
# MgHS3 | the Alexandria database | PBE-GGA | relaxed
data_MgHS3
_chemical_formula_sum 'Mg1 H1 S3'
_space_group_name_H-M_alt 'P m -3 m'
_space_group_IT_number 221
_space_group_name_Hall '-P 4 2 3'
_cell_length_a 4.854
_cell_length_b 4.854
_cell_length_c 4.854
_cell_angle_alpha 90.00
_cell_angle_beta 90.00
_cell_angle_gamma 90.00
loop_
_atom_site_label
_atom_site_type_symbol
_atom_site_fract_x
_atom_site_fract_y
_atom_site_fract_z
Mg1 Mg 0.000 0.000 0.000
H1 H 0.500 0.500 0.500
S1 S 0.000 0.000 0.500
# Crystal system: cubic
# Total moment, μB per formula unit: 3.0
# DOS at the Fermi energy, states/eV/cell: 6.31

***

Referenced to the most stable arrangement, the calculated values in eV/atom are (one) 0.000; (two) 0.352.

***

(one)
# MgH3S | the Alexandria database | PBE-GGA | relaxed
data_MgH3S
_chemical_formula_sum 'Mg1 H3 S1'
_space_group_name_H-M_alt 'P m -3 m'
_space_group_IT_number 221
_space_group_name_Hall '-P 4 2 3'
_cell_length_a 3.663
_cell_length_b 3.663
_cell_length_c 3.663
_cell_angle_alpha 90.00
_cell_angle_beta 90.00
_cell_angle_gamma 90.00
loop_
_atom_site_label
_atom_site_type_symbol
_atom_site_fract_x
_atom_site_fract_y
_atom_site_fract_z
Mg1 Mg 0.000 0.000 0.000
H1 H 0.000 0.000 0.500
S1 S 0.500 0.500 0.500
# Crystal system: cubic
# Total moment, μB per formula unit: 0.0
# DOS at the Fermi energy, states/eV/cell: 1.62

***

(two)
# MgH3S | the Alexandria database | PBE-GGA | relaxed
data_MgH3S
_chemical_formula_sum 'Mg1 H3 S1'
_space_group_name_H-M_alt 'P m -3 m'
_space_group_IT_number 221
_space_group_name_Hall '-P 4 2 3'
_cell_length_a 3.679
_cell_length_b 3.679
_cell_length_c 3.679
_cell_angle_alpha 90.00
_cell_angle_beta 90.00
_cell_angle_gamma 90.00
loop_
_atom_site_label
_atom_site_type_symbol
_atom_site_fract_x
_atom_site_fract_y
_atom_site_fract_z
Mg1 Mg 0.000 0.000 0.000
H1 H 0.000 0.500 0.500
S1 S 0.500 0.500 0.500
# Crystal system: cubic
# Total moment, μB per formula unit: 0.0
# DOS at the Fermi energy, states/eV/cell: 1.54

***

Referenced to the most stable arrangement, the calculated values in eV/atom are (one) 0.102; (two) 0.000.

***

(one)
# Mg2SbH2 | the Alexandria database | PBE-GGA | relaxed
data_Mg2SbH2
_chemical_formula_sum 'Mg4 Sb2 H4'
_space_group_name_H-M_alt 'I 4/m m m'
_space_group_IT_number 139
_space_group_name_Hall '-I 4 2'
_cell_length_a 3.478
_cell_length_b 3.478
_cell_length_c 12.059
_cell_angle_alpha 90.00
_cell_angle_beta 90.00
_cell_angle_gamma 90.00
loop_
_atom_site_label
_atom_site_type_symbol
_atom_site_fract_x
_atom_site_fract_y
_atom_site_fract_z
Mg1 Mg 0.000 0.000 0.160
Sb1 Sb 0.000 0.000 0.500
H1 H 0.000 0.500 0.250
# Crystal system: tetragonal
# Total moment, μB per formula unit: 0.0
# DOS at the Fermi energy, states/eV/cell: 1.40

***

(two)
# Mg2SbH2 | the Alexandria database | PBE-GGA | relaxed
data_Mg2SbH2
_chemical_formula_sum 'Mg4 Sb2 H4'
_space_group_name_H-M_alt 'P 4/m b m'
_space_group_IT_number 127
_space_group_name_Hall '-P 4 2ab'
_cell_length_a 7.212
_cell_length_b 7.212
_cell_length_c 2.993
_cell_angle_alpha 90.00
_cell_angle_beta 90.00
_cell_angle_gamma 90.00
loop_
_atom_site_label
_atom_site_type_symbol
_atom_site_fract_x
_atom_site_fract_y
_atom_site_fract_z
Mg1 Mg 0.139 0.361 0.000
Sb1 Sb 0.000 0.000 0.500
H1 H 0.100 0.600 0.500
# Crystal system: tetragonal
# Total moment, μB per formula unit: 0.0
# DOS at the Fermi energy, states/eV/cell: 3.40

***

Referenced to the most stable arrangement, the calculated values in eV/atom are (one) 0.000; (two) 0.435.

***

(one)
# Mg2SbH | the Alexandria database | PBE-GGA | relaxed
data_Mg2SbH
_chemical_formula_sum 'Mg8 Sb4 H4'
_space_group_name_H-M_alt 'I -4 2 d'
_space_group_IT_number 122
_space_group_name_Hall 'I -4 2bw'
_cell_length_a 5.270
_cell_length_b 5.270
_cell_length_c 12.055
_cell_angle_alpha 90.00
_cell_angle_beta 90.00
_cell_angle_gamma 90.00
loop_
_atom_site_label
_atom_site_type_symbol
_atom_site_fract_x
_atom_site_fract_y
_atom_site_fract_z
Mg1 Mg 0.124 0.250 0.125
Sb1 Sb 0.000 0.000 0.500
H1 H 0.000 0.000 0.000
# Crystal system: tetragonal
# Total moment, μB per formula unit: 0.0
# DOS at the Fermi energy, states/eV/cell: 0.67

***

(two)
# Mg2SbH | the Alexandria database | PBE-GGA | relaxed
data_Mg2SbH
_chemical_formula_sum 'Mg4 Sb2 H2'
_space_group_name_H-M_alt 'P 1'
_space_group_IT_number 1
_cell_length_a 4.114
_cell_length_b 4.502
_cell_length_c 9.290
_cell_angle_alpha 89.96
_cell_angle_beta 89.91
_cell_angle_gamma 89.97
loop_
_space_group_symop_operation_xyz
'x,y,z'
loop_
_atom_site_label
_atom_site_type_symbol
_atom_site_fract_x
_atom_site_fract_y
_atom_site_fract_z
Mg1 Mg 0.000 0.000 0.000
Mg2 Mg 0.001 0.012 0.604
Mg3 Mg 0.500 0.500 0.026
Mg4 Mg 0.502 0.511 0.422
Sb1 Sb 0.001 0.500 0.812
Sb2 Sb 0.499 0.999 0.214
H1 H 0.000 0.390 0.468
H2 H 0.501 0.891 0.557
# Crystal system: triclinic
# Total moment, μB per formula unit: 0.0
# DOS at the Fermi energy, states/eV/cell: 1.23

***

Referenced to the most stable arrangement, the calculated values in eV/atom are (one) 0.036; (two) 0.000.